Material: Li4V2SiP2O12
Method: DFT, PBE+U
State: optimized geometry

## Properties
Space group: P1 (1)
Crystal system: triclinic
DOS at the Fermi energy in states/eV/f.u.: 0.00
Polymorph energy (0 for the lowest one) in eV/atom: 0.000

Cell: 8.9013 8.9012 8.6214 Å, 59.53 120.47 119.14°
With the nearest neighbours (Å) after each atom.
Fractional positions:
1 V 0.3697 0.1282 0.0929  6 O 1.97-2.10
2 O 0.7094 0.6011 0.0907  1 P 1.54
3 O 0.3992 0.2912 0.5903  1 P 1.54
4 V 0.1532 0.3565 0.4236  6 O 1.94-2.14
5 Li 0.5897 0.8124 0.5623  4 O 2.03-2.09
6 O 0.6017 0.1090 0.7442  1 P 1.57
7 O 0.7946 0.9506 0.7425  1 P 1.56
8 O 0.8870 0.9893 0.0719  1 P 1.53
9 Li 0.8304 0.2170 0.6909  3 O 1.97-2.06
10 O 0.4462 0.7279 0.7314  1 Si 1.66
11 O 0.1403 0.9913 0.9374  1 P 1.52
12 O 0.8907 0.3978 0.2444  1 P 1.57
13 P 0.5659 0.2502 0.7702  4 O 1.54-1.57
14 P 0.0394 0.0188 0.2566  4 O 1.52-1.56
15 O 0.4288 0.8847 0.2754  1 Si 1.67
16 O 0.3060 0.3584 0.9447  1 Si 1.63
17 O 0.6413 0.6934 0.4451  1 Si 1.63
18 O 0.5822 0.2547 0.2830  1 P 1.57
19 O 0.5433 0.1813 0.9636  1 P 1.54
20 O 0.0078 0.8597 0.4367  1 P 1.52
21 V 0.6436 0.8468 0.9236  6 O 1.94-2.14
22 V 0.8718 0.6302 0.5930  6 O 1.97-2.10
23 Si 0.2705 0.5371 0.7523  4 O 1.63-1.67
24 O 0.0498 0.2057 0.2426  1 P 1.56
25 Li 0.8300 0.5556 0.9594  4 O 2.01-2.17
26 O 0.9595 0.7664 0.7781  1 P 1.56
27 O 0.1971 0.5127 0.5472  1 Si 1.64
28 Li 0.2228 0.7651 0.8823  3 O 1.96-2.04
29 Si 0.4631 0.7296 0.2524  4 O 1.63-1.67
30 O 0.7457 0.4174 0.7833  1 P 1.57
31 P 0.9814 0.9605 0.7569  4 O 1.52-1.56
32 O 0.4877 0.8029 0.0474  1 Si 1.64
33 Li 0.2342 0.7769 0.3810  3 O 1.96-2.04
34 O 0.1156 0.5717 0.7753  1 Si 1.67
35 Li 0.4443 0.1697 0.4594  4 O 2.01-2.17
36 Li 0.1876 0.4104 0.0622  4 O 2.03-2.09
37 O 0.2718 0.5543 0.2309  1 Si 1.66
38 O 0.0117 0.1130 0.5725  1 P 1.53
39 Li 0.7830 0.1699 0.1899  3 O 1.97-2.07
40 O 0.2334 0.0401 0.2781  1 P 1.56
41 O 0.8188 0.4564 0.4639  1 P 1.54
42 P 0.7498 0.4340 0.2704  4 O 1.54-1.57